1.
Below is crystalline Tb5Ho12Hg2 at its relaxed geometry, with properties calculated at the GGA-PBE level.

E_form   0.076 eV per atom
Electronic total energy   -4.065 eV/atom

Geometry as POSCAR:
```
Tb5Ho12Hg2
1.0
-3.854 -0.269 -7.625
11.363 -1.880 -0.886
-5.934 -5.340 3.188
Tb Ho Hg
5 12 2
Direct
0.290 0.580 0.564
0.293 0.586 0.106
0.000 0.000 0.500
0.707 0.414 0.894
0.710 0.420 0.436
0.068 0.136 0.226
0.076 0.748 0.016
0.672 0.748 0.016
0.028 0.664 0.362
0.636 0.664 0.362
0.478 0.955 0.647
0.522 0.045 0.353
0.972 0.336 0.638
0.364 0.336 0.638
0.924 0.252 0.984
0.328 0.252 0.984
0.932 0.864 0.774
0.669 0.000 0.000
0.331 0.000 0.000
```


2.
Below is crystalline Tl3Hg5N2 at its relaxed geometry, with properties calculated at the GGA-PBE level.

Raw formation energy   464 meV/atom
Electronic total energy   -2.062 eV/atom

Geometry as POSCAR:
```
Tl3Hg5N2
1.0
15.326 -5.076 -1.459
-9.550 9.299 -2.248
-1.519 -0.398 6.309
Tl Hg N
6 10 4
Direct
0.705 0.539 0.927
0.193 0.899 0.537
0.295 0.461 0.073
0.807 0.101 0.463
0.340 0.262 0.079
0.660 0.738 0.921
0.615 0.205 0.095
0.126 0.090 0.394
0.385 0.795 0.905
0.874 0.910 0.606
0.218 0.894 0.060
0.782 0.106 0.940
0.772 0.566 0.555
0.228 0.434 0.445
0.751 0.296 0.701
0.249 0.704 0.299
0.814 0.548 0.271
0.375 0.253 0.752
0.186 0.452 0.729
0.625 0.747 0.248
```


3.
Below is crystalline SmHoZnCr at its relaxed geometry, with properties calculated at the GGA-PBE level.

E_form   0.027 eV per atom
Electronic total energy   -5.022 eV/atom

Geometry as POSCAR:
```
SmHoZnCr
1.0
5.086 0.000 0.000
2.543 4.404 0.000
2.543 1.468 4.152
Cr Zn Ho Sm
1 1 1 1
Direct
0.250 0.250 0.250
0.750 0.750 0.750
0.500 0.500 0.500
0.000 0.000 0.000
```


no.,M_tot (Bohr magnetons per cell),Fermi-level density of states (states/eV/f.u.)
1,0.00,24.132
2,0.00,1.983
3,3.45,1.723